[1]
Density functional theory data (PBE-GGA) for a relaxed PmDy6Y3 crystal.

The space group is R3 (No. 146, hexagonal axes) and the conventional cell measures 9.8456, 9.8456 and 11.6980 Å, with angles of 90.00, 90.00 and 120.00 degrees. The inequivalent atoms are Pm at (0.0000, 0.0000, 0.0000), Dy at (0.0037, 0.6696, 0.1622), Dy at (0.0047, 0.3354, 0.6627), Y at (0.0000, 0.0000, 0.2564), Y at (0.0000, 0.0000, 0.5017) and Y at (0.0000, 0.0000, 0.7528).

The calculation puts the energy above the most stable polymorph in this dataset at 0.144 eV/atom. Its total energy is -4.890 eV per atom. Its energy of formation is 2.9 eV per formula unit.

---

[2]
Density functional theory data (PBE-GGA) for a relaxed Pm3Si4 crystal.

The space group is Immm (No. 71) and the conventional cell measures 3.9346, 4.3918 and 17.8520 Å, with angles of 90.00, 90.00 and 90.00 degrees. The inequivalent atoms are Pm at (0.0000, 0.0000, 0.0000), Pm at (0.0000, 0.5000, 0.3180), Si at (0.0000, 0.0000, 0.4341) and Si at (0.0000, 0.5000, 0.1466).

Its total energy is -5.877 eV per atom. The uncorrected formation energy is -743 meV/atom.

---

[3]
Density functional theory data (PBE-GGA) for a relaxed LiGa4Ir crystal.

The space group is I-4m2 (No. 119) and the conventional cell measures 4.9787, 4.9787 and 8.5223 Å, with angles of 90.00, 90.00 and 90.00 degrees. The inequivalent atoms are Li at (0.0000, 0.0000, 0.0000), Ga at (0.0000, 0.0000, 0.3107), Ga at (0.0000, 0.5000, 0.0484) and Ir at (0.0000, 0.5000, 0.7500).

Its total energy is -3.908 eV per atom. Its energy of formation is -0.6 eV per formula unit.

---

[4]
Density functional theory data (PBE-GGA) for a relaxed Sm2Al2Ag3 crystal.

The space group is Cmcm (No. 63) and the conventional cell measures 4.3384, 19.8137 and 7.2760 Å, with angles of 90.00, 90.00 and 90.00 degrees. The inequivalent atoms are Sm at (0.0000, 0.0584, 0.2500), Sm at (0.0000, 0.1542, 0.7500), Al at (0.0000, 0.3064, 0.5578), Ag at (0.0000, 0.2248, 0.2500) and Ag at (0.0000, 0.4355, 0.0581).

The calculation puts the energy above the most stable polymorph in this dataset at 0.000 eV/atom. Its total energy is -3.933 eV per atom. Its energy of formation is -2.1 eV per formula unit.